MnZnGeIr | the Alexandria database | PBE-GGA | relaxed; raw total energy = -6.0687 eV per atom; DFT formation energy = -0.4 eV per formula unit
1.0
0.000 3.054 3.054
3.054 0.000 3.054
3.054 3.054 0.000
Mn Zn Ge Ir
1 1 1 1
Cartesian
0.000 0.000 0.000
4.580 4.580 4.580
1.527 1.527 1.527
3.054 3.054 3.054

---

MnZnGeIr2 | the Alexandria database | PBE-GGA | relaxed; raw total energy = -5.7054 eV per atom; DFT formation energy = 4.3 eV per formula unit
1.0
4.562 0.000 0.000
0.000 4.562 0.000
0.000 0.000 4.516
Mn Zn Ge Ir
1 1 1 2
Cartesian
0.000 0.000 0.000
2.281 2.281 0.000
0.000 0.000 2.258
0.000 2.281 2.258
2.281 0.000 2.258

---

GeMoIr2 | the Alexandria database | PBE-GGA | relaxed; raw total energy = -7.7919 eV per atom; DFT formation energy = 2.0 eV per formula unit
1.0
-2.776 2.776 5.670
2.776 -2.776 5.670
2.776 2.776 -5.670
Ge Mo Ir
2 2 4
Cartesian
0.000 0.000 0.000
0.000 2.776 2.835
2.776 0.000 2.835
0.000 0.000 5.670
4.165 1.369 -1.418
1.369 1.388 1.418
-1.388 1.408 4.253
1.408 1.388 7.088

---

GeMo3Ir | the Alexandria database | PBE-GGA | relaxed; raw total energy = -7.6088 eV per atom; DFT formation energy = 7.9 eV per formula unit
1.0
4.773 0.000 0.000
0.000 4.773 0.000
0.000 0.000 4.773
Ge Mo Ir
1 3 1
Cartesian
0.000 0.000 0.000
0.000 2.386 2.386
2.386 0.000 2.386
2.386 2.386 0.000
2.386 2.386 2.386